# Mg2PdC, optimized geometry, DFT GGA-PBE
data_Mg2PdC
_space_group_name_H-M_alt 'I 41/a m d'
_space_group_IT_number 141
_cell_length_a 8.635
_cell_length_b 8.635
_cell_length_c 4.139
_cell_angle_alpha 90.00
_cell_angle_beta 90.00
_cell_angle_gamma 90.00
loop_
_space_group_symop_operation_xyz
'x,y,z'
'-x,-y,-z'
'-y+1/4,x+3/4,z+1/4'
'y+1/4,-x+3/4,-z+1/4'
'-x+1/2,-y,z+1/2'
'x+1/2,y,-z+1/2'
'y+1/4,-x+1/4,z+3/4'
'-y+1/4,x+1/4,-z+3/4'
'x,-y,-z'
'-x,y,z'
'-y+1/4,-x+1/4,-z+3/4'
'y+1/4,x+1/4,z+3/4'
'-x+1/2,y,-z+1/2'
'x+1/2,-y,z+1/2'
'y+1/4,x+3/4,-z+1/4'
'-y+1/4,-x+3/4,z+1/4'
'x+1/2,y+1/2,z+1/2'
'-x+1/2,-y+1/2,-z+1/2'
'-y+3/4,x+1/4,z+3/4'
'y+3/4,-x+1/4,-z+3/4'
'-x,-y+1/2,z'
'x,y+1/2,-z'
'y+3/4,-x+3/4,z+1/4'
'-y+3/4,x+3/4,-z+1/4'
'x+1/2,-y+1/2,-z+1/2'
'-x+1/2,y+1/2,z+1/2'
'-y+3/4,-x+3/4,-z+1/4'
'y+3/4,x+3/4,z+1/4'
'-x,y+1/2,-z'
'x,-y+1/2,z'
'y+3/4,x+1/4,-z+3/4'
'-y+3/4,-x+1/4,z+3/4'
loop_
_atom_site_label
_atom_site_type_symbol
_atom_site_fract_x
_atom_site_fract_y
_atom_site_fract_z
Mg1 Mg 0.000 0.000 0.000
Pd1 Pd 0.000 0.250 0.375
C1 C 0.000 0.250 0.875
# D(E_F) (states/eV/atom): 0.00
# Raw total energy (eV per formula unit): -16.8
# Energy relative to the elements (meV/atom): 206.9